CrTcGeO6: relaxed, PBE+U.

Geometry as POSCAR:
```
CrTcGeO6
1.0
-2.5627 1.2459 -3.5697
-2.6082 -3.7046 0.5794
-5.4353 4.6931 5.5400
O Tc Cr Ge
12 2 2 2
Direct
0.8097 0.1903 0.4963
0.8048 0.1952 0.1720
0.3097 0.3097 0.9963
0.2015 0.7985 0.8311
0.7015 0.7015 0.3311
0.1952 0.8048 0.1720
0.7985 0.2015 0.8311
0.6952 0.6952 0.6720
0.6903 0.6903 0.9963
0.2985 0.2985 0.3311
0.3048 0.3048 0.6720
0.1903 0.8097 0.4963
0.5000 0.5000 0.1675
0.0000 0.0000 0.6675
0.5000 0.5000 0.5004
0.0000 0.0000 0.0004
0.5000 0.5000 0.8334
0.0000 0.0000 0.3334
```

Values from the calculation:
Total DFT energy (no corrections) in eV per atom: -7.37
DOS(E_F) in states/eV/atom: 0.279
Symmetry: P4_2nm, No. 102